Arrangement i

Compound: VI3F
Source: Alexandria via LeMat-Bulk
Functional: GGA+U
Structure: relaxed

Calculated values
Its crystal system is cubic. Its symmetry is No. 221. For the volume, the calculation gives 34.45 Å³/atom. The magnetic moment is 2.5 μB per formula unit.

a = 5.5638 Å, b = 5.5638 Å, c = 5.5638 Å
α = 90.00°, β = 90.00°, γ = 90.00°
Each line ends with the local moment (μB).
Positions (direct):
I 0.0000 0.5000 0.0000  -0.14
I 0.0000 0.0000 0.5000  -0.14
I 0.5000 0.0000 0.0000  -0.14
V 0.0000 0.0000 0.0000  2.48
F 0.5000 0.5000 0.5000  0.33


Arrangement ii

Compound: VI3F
Source: Alexandria via LeMat-Bulk
Functional: GGA+U
Structure: relaxed

Calculated values
Its crystal system is cubic. Its symmetry is No. 221. For the volume, the calculation gives 30.13 Å³/atom. The magnetic moment is 3.0 μB per formula unit.

a = 5.3211 Å, b = 5.3211 Å, c = 5.3211 Å
α = 90.00°, β = 90.00°, γ = 90.00°
Each line ends with the local moment (μB).
Positions (direct):
I 0.0000 0.5000 0.0000  -0.12
I 0.0000 0.0000 0.5000  -0.12
I 0.5000 0.0000 0.0000  -0.12
V 0.5000 0.5000 0.5000  3.11
F 0.0000 0.0000 0.0000  -0.08


So which one wins? Going from most stable to least: arrangement i, arrangement ii.


Arrangement i

Compound: W2IF
Source: Alexandria via LeMat-Bulk
Functional: GGA+U
Structure: relaxed

Calculated values
Its crystal system is cubic. Its symmetry is No. 225. For the volume, the calculation gives 18.96 Å³/atom. The magnetic moment is 6.0 μB per formula unit.

a = 4.7516 Å, b = 4.7516 Å, c = 4.7516 Å
α = 60.00°, β = 60.00°, γ = 60.00°
Each line ends with the local moment (μB).
Positions (direct):
I 0.5000 0.5000 0.5000  -0.09
W 0.2500 0.2500 0.2500  2.50
W 0.7500 0.7500 0.7500  2.50
F 0.0000 0.0000 0.0000  0.17


Arrangement ii

Compound: W2IF
Source: Alexandria via LeMat-Bulk
Functional: GGA+U
Structure: relaxed

Calculated values
Its crystal system is tetragonal. Its symmetry is No. 122. For the volume, the calculation gives 21.70 Å³/atom. The magnetic moment is 5.1 μB per formula unit.

a = 4.2066 Å, b = 4.2066 Å, c = 10.2502 Å
α = 78.16°, β = 78.16°, γ = 90.00°
Each line ends with the local moment (μB).
Positions (direct):
I 0.0000 0.0000 0.0000  -0.03
I 0.7500 0.2500 0.5000  -0.03
W 0.6244 0.1250 0.2500  2.24
W 0.1256 0.6250 0.2500  2.24
W 0.3750 0.3756 0.7500  2.24
W 0.8750 0.8744 0.7500  2.24
F 0.5000 0.5000 0.0000  0.09
F 0.2500 0.7500 0.5000  0.09


So which one wins? Going from most stable to least: arrangement ii, arrangement i.


Arrangement i

Compound: WIF2
Source: Alexandria via LeMat-Bulk
Functional: GGA+U
Structure: relaxed

Calculated values
Its crystal system is tetragonal. Its symmetry is No. 141. For the volume, the calculation gives 22.04 Å³/atom. The magnetic moment is 3.0 μB per formula unit.

a = 5.1488 Å, b = 5.1488 Å, c = 7.5834 Å
α = 70.15°, β = 70.15°, γ = 90.00°
Each line ends with the local moment (μB).
Positions (direct):
I 0.5000 0.5000 0.0000  0.04
I 0.2500 0.7500 0.5000  0.04
W 0.0000 0.0000 0.0000  2.77
W 0.7500 0.2500 0.5000  2.77
F 0.8748 0.1250 0.2500  0.01
F 0.8752 0.6250 0.2500  0.01
F 0.3750 0.1252 0.7500  0.01
F 0.8750 0.1248 0.7500  0.01


Arrangement ii

Compound: WIF2
Source: Alexandria via LeMat-Bulk
Functional: GGA+U
Structure: relaxed

Calculated values
Its crystal system is trigonal. Its symmetry is No. 166. For the volume, the calculation gives 22.96 Å³/atom. The magnetic moment is 3.4 μB per formula unit.

a = 7.6136 Å, b = 7.6136 Å, c = 7.6136 Å
α = 29.02°, β = 29.02°, γ = 29.02°
Each line ends with the local moment (μB).
Positions (direct):
I 0.0000 0.0000 0.0000  0.01
W 0.5000 0.5000 0.5000  3.12
F 0.8557 0.8557 0.8557  -0.02
F 0.1443 0.1443 0.1443  -0.02


So which one wins? Going from most stable to least: arrangement i, arrangement ii.